# 1
# PBE-GGA KAg2TeI6, optimized geometry
# M_tot ... 0.18 Bohr magnetons per cell
# D(E_F) ... 4.51 states/eV/cell
# Uncorrected formation energy ... -0.382 eV/atom
# Calculated volume ... 450.3 Å³ per cell
data_KAg2TeI6
_cell_length_a 9.0522
_cell_length_b 8.4916
_cell_length_c 11.4222
_cell_angle_alpha 50.99
_cell_angle_beta 44.81
_cell_angle_gamma 50.33
_symmetry_space_group_name_H-M 'P 1'
_symmetry_Int_Tables_number 1
loop_
_symmetry_equiv_pos_as_xyz
'x,y,z'
loop_
_atom_site_label
_atom_site_type_symbol
_atom_site_fract_x
_atom_site_fract_y
_atom_site_fract_z
Ag1 Ag 0.5078 0.4617 0.3393
Ag2 Ag 0.9731 0.1360 0.9382
I1 I 0.6026 0.1344 0.2763
I2 I 0.3451 0.7425 0.8524
I3 I 0.2804 0.8901 0.1812
I4 I 0.7994 0.1506 0.7856
I5 I 0.2035 0.4220 0.7115
I6 I 0.8496 0.4763 0.2986
K1 K 0.7821 0.9349 0.6023
Te1 Te 0.3179 0.3130 0.0298

---

# 2
# PBE-GGA KAgTe2I, optimized geometry
# M_tot ... 3.03 Bohr magnetons per cell
# D(E_F) ... 4.21 states/eV/cell
# Uncorrected formation energy ... 0.654 eV/atom
# ΔE to the lowest computed polymorph ... 853 meV per atom
# Calculated volume ... 261.5 Å³ per cell
data_KAgTe2I
_cell_length_a 6.4279
_cell_length_b 6.4279
_cell_length_c 6.3278
_cell_angle_alpha 90.00
_cell_angle_beta 90.00
_cell_angle_gamma 90.00
_symmetry_space_group_name_H-M 'P 1'
_symmetry_Int_Tables_number 1
loop_
_symmetry_equiv_pos_as_xyz
'x,y,z'
loop_
_atom_site_label
_atom_site_type_symbol
_atom_site_fract_x
_atom_site_fract_y
_atom_site_fract_z
I1 I 0.0000 0.0000 0.5000
Ag1 Ag 0.5000 0.5000 0.5000
Te1 Te 0.0000 0.5000 0.0000
Te2 Te 0.5000 0.0000 0.0000
K1 K 0.0000 0.0000 0.0000

---

# 3
# PBE-GGA KThAgI6, optimized geometry
# M_tot ... 0.00 Bohr magnetons per cell
# D(E_F) ... 0.00 states/eV/cell
# Uncorrected formation energy ... -1.047 eV/atom
# Calculated volume ... 855.0 Å³ per cell
data_KThAgI6
_cell_length_a 7.8741
_cell_length_b 7.8741
_cell_length_c 15.9241
_cell_angle_alpha 90.00
_cell_angle_beta 90.00
_cell_angle_gamma 120.00
_symmetry_space_group_name_H-M 'P 1'
_symmetry_Int_Tables_number 1
loop_
_symmetry_equiv_pos_as_xyz
'x,y,z'
loop_
_atom_site_label
_atom_site_type_symbol
_atom_site_fract_x
_atom_site_fract_y
_atom_site_fract_z
I1 I 0.6392 0.0014 0.3627
I2 I 0.3622 0.0014 0.1373
I3 I 0.6378 0.9986 0.8627
I4 I 0.3622 0.3608 0.3627
I5 I 0.6378 0.6392 0.6373
I6 I 0.0014 0.3622 0.6373
I7 I 0.0014 0.6392 0.8627
I8 I 0.3608 0.3622 0.8627
I9 I 0.3608 0.9986 0.6373
I10 I 0.9986 0.3608 0.1373
I11 I 0.6392 0.6378 0.1373
I12 I 0.9986 0.6378 0.3627
Ag1 Ag 0.3333 0.6667 0.2500
Ag2 Ag 0.6667 0.3333 0.7500
Th1 Th 0.3333 0.6667 0.7500
Th2 Th 0.6667 0.3333 0.2500
K1 K 0.0000 0.0000 0.5000
K2 K 0.0000 0.0000 0.0000

---

# 4
# PBE-GGA KThAg2I8, optimized geometry
# M_tot ... 0.00 Bohr magnetons per cell
# D(E_F) ... 10.17 states/eV/cell
# Uncorrected formation energy ... -0.769 eV/atom
# Calculated volume ... 563.9 Å³ per cell
data_KThAg2I8
_cell_length_a 7.8142
_cell_length_b 7.8142
_cell_length_c 10.3389
_cell_angle_alpha 89.79
_cell_angle_beta 89.79
_cell_angle_gamma 63.29
_symmetry_space_group_name_H-M 'P 1'
_symmetry_Int_Tables_number 1
loop_
_symmetry_equiv_pos_as_xyz
'x,y,z'
loop_
_atom_site_label
_atom_site_type_symbol
_atom_site_fract_x
_atom_site_fract_y
_atom_site_fract_z
I1 I 0.2320 0.2320 0.9969
I2 I 0.7426 0.2564 0.7827
I3 I 0.7680 0.7680 0.0031
I4 I 0.2574 0.7436 0.2173
I5 I 0.7436 0.2574 0.2173
I6 I 0.2564 0.7426 0.7827
I7 I 0.7372 0.7372 0.4891
I8 I 0.2628 0.2628 0.5109
Ag1 Ag 0.3367 0.3367 0.7573
Ag2 Ag 0.6633 0.6633 0.2427
Th1 Th 0.0000 0.0000 0.0000
K1 K 0.0000 0.0000 0.5000

---

# 5
# PBE-GGA KTiAgI6, optimized geometry
# M_tot ... 0.00 Bohr magnetons per cell
# Uncorrected formation energy ... -0.729 eV/atom
# Calculated volume ... 766.3 Å³ per cell
data_KTiAgI6
_cell_length_a 7.6620
_cell_length_b 7.6620
_cell_length_c 15.0715
_cell_angle_alpha 90.00
_cell_angle_beta 90.00
_cell_angle_gamma 120.00
_symmetry_space_group_name_H-M 'P 1'
_symmetry_Int_Tables_number 1
loop_
_symmetry_equiv_pos_as_xyz
'x,y,z'
loop_
_atom_site_label
_atom_site_type_symbol
_atom_site_fract_x
_atom_site_fract_y
_atom_site_fract_z
Ti1 Ti 0.6667 0.3333 0.2500
Ti2 Ti 0.3333 0.6667 0.7500
I1 I 0.3598 0.9735 0.6428
I2 I 0.6402 0.0265 0.3572
I3 I 0.6137 0.9735 0.8572
I4 I 0.6402 0.6137 0.1428
I5 I 0.3598 0.3863 0.8572
I6 I 0.0265 0.3863 0.6428
I7 I 0.6137 0.6402 0.6428
I8 I 0.9735 0.3598 0.1428
I9 I 0.3863 0.3598 0.3572
I10 I 0.9735 0.6137 0.3572
I11 I 0.3863 0.0265 0.1428
I12 I 0.0265 0.6402 0.8572
Ag1 Ag 0.6667 0.3333 0.7500
Ag2 Ag 0.3333 0.6667 0.2500
K1 K 0.0000 0.0000 0.5000
K2 K 0.0000 0.0000 0.0000

---

# 6
# PBE-GGA K2TiAgI6, optimized geometry
# M_tot ... 1.00 Bohr magnetons per cell
# D(E_F) ... 6.89 states/eV/cell
# Uncorrected formation energy ... -0.899 eV/atom
# Calculated volume ... 431.7 Å³ per cell
data_K2TiAgI6
_cell_length_a 8.2988
_cell_length_b 8.2990
_cell_length_c 8.6825
_cell_angle_alpha 61.43
_cell_angle_beta 61.43
_cell_angle_gamma 60.00
_symmetry_space_group_name_H-M 'P 1'
_symmetry_Int_Tables_number 1
loop_
_symmetry_equiv_pos_as_xyz
'x,y,z'
loop_
_atom_site_label
_atom_site_type_symbol
_atom_site_fract_x
_atom_site_fract_y
_atom_site_fract_z
I1 I 0.1958 0.0144 0.2246
I2 I 0.6573 0.1174 0.7591
I3 I 0.5651 0.1958 0.2245
I4 I 0.1173 0.4663 0.7593
I5 I 0.4663 0.6573 0.7590
I6 I 0.0145 0.5650 0.2247
Ag1 Ag 0.7407 0.7408 0.7778
Ti1 Ti 0.3262 0.3262 0.0215
K1 K 0.0327 0.0327 0.9019
K2 K 0.5457 0.5456 0.3629